Entry 1:
The following is a DFT calculation (PBE) of a geometry-optimized NpGe4 structure.

```
NpGe4
1.0
5.3241 0.0000 0.0000
0.0000 5.3241 0.0000
0.0000 0.0000 5.3241
Np Ge
1 4
Direct
0.0000 0.0000 0.0000
0.0000 0.0000 0.5000
0.0000 0.5000 0.0000
0.5000 0.0000 0.0000
0.5000 0.5000 0.5000
```

Output
- Energy of formation: 1.065 eV/atom
- Spin magnetization: 4.10 μB/cell

---

Entry 2:
The following is a DFT calculation (PBE) of a geometry-optimized NpGe5 structure.

```
NpGe5
1.0
2.2641 -6.6900 0.0000
2.2641 6.6900 0.0000
0.0000 0.0000 3.8202
Np Ge
1 5
Direct
0.0000 0.0000 0.0000
0.1829 0.8171 0.5000
0.3446 0.6554 0.0000
0.5000 0.5000 0.5000
0.6554 0.3446 0.0000
0.8171 0.1829 0.5000
```

Output
- Energy of formation: 0.063 eV/atom
- Spin magnetization: 3.52 μB/cell

---

Entry 3:
The following is a DFT calculation (PBE) of a geometry-optimized Np3Ge structure.

```
Np3Ge
1.0
4.5630 0.0000 0.0000
0.0000 4.5630 0.0000
0.0000 0.0000 3.8555
Np Ge
3 1
Direct
0.0000 0.0000 0.0000
0.0000 0.5000 0.7059
0.5000 0.0000 0.7059
0.5000 0.5000 0.1891
```

Output
- Energy of formation: 0.033 eV/atom
- Spin magnetization: 4.70 μB/cell

---

Entry 4:
The following is a DFT calculation (PBE) of a geometry-optimized Np4Ge structure.

```
Np4Ge
1.0
5.4085 0.0000 0.0000
0.0000 5.4085 0.0000
0.0000 0.0000 5.4085
Np Ge
4 1
Direct
0.0000 0.0000 0.0000
0.0000 0.5000 0.5000
0.5000 0.0000 0.5000
0.5000 0.5000 0.0000
0.5000 0.5000 0.5000
```

Output
- Energy of formation: 1.319 eV/atom
- Spin magnetization: 9.61 μB/cell

---

Entry 5:
The following is a DFT calculation (PBE) of a geometry-optimized NpGe6 structure.

```
NpGe6
1.0
-3.5300 3.5300 3.5300
3.5300 -3.5300 3.5300
3.5300 3.5300 -3.5300
Np Ge
1 6
Direct
0.0000 0.0000 0.0000
0.2500 0.5000 0.7500
0.2500 0.7500 0.5000
0.5000 0.2500 0.7500
0.5000 0.7500 0.2500
0.7500 0.2500 0.5000
0.7500 0.5000 0.2500
```

Output
- Energy of formation: 0.460 eV/atom
- Spin magnetization: 5.17 μB/cell

---

Entry 6:
The following is a DFT calculation (PBE) of a geometry-optimized Np3Ge structure.

```
Np3Ge
1.0
3.8525 -4.4892 0.0000
3.8525 4.4892 0.0000
-0.0433 0.0000 4.3204
Np Ge
6 2
Direct
0.1022 0.5295 0.2514
0.1045 0.1045 0.2476
0.4705 0.8978 0.7486
0.5295 0.1022 0.2514
0.8955 0.8955 0.7524
0.8978 0.4705 0.7486
0.3678 0.3678 0.7522
0.6322 0.6322 0.2478
```

Output
- Energy of formation: -0.058 eV/atom
- Spin magnetization: 0.00 μB/cell

---

Entry 7:
The following is a DFT calculation (PBE) of a geometry-optimized NpGeO5 structure.

```
NpGeO5
1.0
-1.8343 3.1424 3.9024
1.8343 -3.1424 3.9024
1.8343 3.1424 -3.9024
Np Ge O
1 1 5
Direct
0.0000 0.0000 0.0000
0.5000 0.5000 0.0000
0.2023 0.5000 0.7023
0.2411 0.2411 0.0000
0.5000 0.0000 0.5000
0.7589 0.7589 0.0000
0.7977 0.5000 0.2977
```

Output
- E_form (uncorrected): -2.1252 eV/atom
- Spin magnetization: 1.00 μB/cell

---

Entry 8:
The following is a DFT calculation (PBE) of a geometry-optimized NpGeO2 structure.

```
NpGeO2
1.0
-3.3663 3.3663 5.6381
3.3663 -3.3663 5.6381
3.3663 3.3663 -5.6381
Np Ge O
4 4 8
Direct
0.0000 0.0000 0.0000
0.0000 0.0000 0.5000
0.0000 0.5000 0.0000
0.5000 0.0000 0.5000
0.0000 0.5000 0.5000
0.5000 0.0000 0.0000
0.5000 0.5000 0.0000
0.5000 0.5000 0.5000
0.1807 0.2026 0.9781
0.2026 0.1807 0.4781
0.2026 0.7245 0.0219
0.2755 0.7974 0.4781
0.7245 0.2026 0.5219
0.7974 0.2755 0.9781
0.7974 0.8193 0.5219
0.8193 0.7974 0.0219
```

Output
- E_form (uncorrected): -1.5620 eV/atom
- Spin magnetization: 15.14 μB/cell

---

Entry 9:
The following is a DFT calculation (PBE) of a geometry-optimized NpGeO6 structure.

```
NpGeO6
1.0
2.4728 -4.7792 0.0000
2.4728 4.7792 0.0000
-1.2267 0.0000 4.7864
Np Ge O
1 1 6
Direct
0.0000 0.0000 0.0000
0.5000 0.5000 0.5000
0.1247 0.3887 0.2550
0.2614 0.2614 0.7365
0.3887 0.1247 0.2550
0.6113 0.8753 0.7450
0.7386 0.7386 0.2635
0.8753 0.6113 0.7450
```

Output
- E_form (uncorrected): -1.6461 eV/atom
- Spin magnetization: 0.92 μB/cell

---

Entry 10:
The following is a DFT calculation (PBE) of a geometry-optimized NpGeO6 structure.

```
NpGeO6
1.0
2.7377 1.5806 4.5089
-2.7377 1.5806 4.5089
0.0000 -3.1612 4.5089
Np Ge O
1 1 6
Direct
0.0000 0.0000 0.0000
0.5000 0.5000 0.5000
0.2251 0.2902 0.7422
0.2578 0.7749 0.7098
0.2902 0.7422 0.2251
0.7098 0.2578 0.7749
0.7422 0.2251 0.2902
0.7749 0.7098 0.2578
```

Output
- E_form (uncorrected): -1.7661 eV/atom
- Spin magnetization: 1.07 μB/cell

---

Entry 11:
The following is a DFT calculation (PBE) of a geometry-optimized NpGe2O8 structure.

```
NpGe2O8
1.0
4.6746 -3.3928 0.0000
4.6746 3.3928 0.0000
-0.0307 0.0000 4.0603
Np Ge O
1 2 8
Direct
0.0000 0.0000 0.0000
0.3864 0.3864 0.7430
0.6136 0.6136 0.2570
0.1113 0.6864 0.7674
0.1958 0.1958 0.7355
0.3136 0.8887 0.2326
0.4143 0.4143 0.2536
0.5857 0.5857 0.7464
0.6864 0.1113 0.7674
0.8042 0.8042 0.2645
0.8887 0.3136 0.2326
```

Output
- E_form (uncorrected): -1.5810 eV/atom
- Spin magnetization: 0.00 μB/cell

---

Entry 12:
The following is a DFT calculation (PBE) of a geometry-optimized NpGe2PbO8 structure.

```
NpGe2PbO8
1.0
2.4984 1.4425 8.5611
-2.4984 1.4425 8.5611
0.0000 -2.8849 8.5611
Np Ge Pb O
1 2 1 8
Direct
0.0000 0.0000 0.0000
0.2527 0.2527 0.2527
0.7473 0.7473 0.7473
0.5000 0.5000 0.5000
0.0348 0.3809 0.7437
0.1856 0.1856 0.1856
0.2563 0.6191 0.9652
0.3809 0.7437 0.0348
0.6191 0.9652 0.2563
0.7437 0.0348 0.3809
0.8144 0.8144 0.8144
0.9652 0.2563 0.6191
```

Output
- E_form (uncorrected): -1.6932 eV/atom
- Spin magnetization: 1.00 μB/cell

---

For the records above, the corresponding electronic total energy values read -0.192, -0.218, -0.398, -0.366, -0.196, -0.401, -0.300, -0.310, -0.278, -0.282, -0.265, -0.263 Ha/atom.
For the records above, the corresponding volume values read 151, 116, 80, 158, 176, 75, 90, 64, 113, 117, 129, 185 Å³/f.u..